Material: ScHIrRh2
Method: DFT, PBE-GGA
State: optimized geometry

## Properties
The space group is P4/mmm (123). For the energy above the most stable polymorph in this dataset, the calculation gives 0 meV per atom.

Lattice parameters (Å, degrees): 3.992 3.992 3.973 90.00 90.00 90.00
Positions (direct):
H  0.000  0.000  0.000
Rh  0.000  0.500  0.000
Ir  0.000  0.000  0.500
Rh  0.500  0.000  0.000
Sc  0.500  0.500  0.500